(1)
{
  "formula": "ErZnPO",
  "functional": "PBE-GGA",
  "state": "optimized geometry",
  "lattice_angstrom": [[-2.036, 2.628, 1.810], [-4.785, -2.758, -1.379], [0.412, -3.452, 5.476]],
  "species": ["Er", "Er", "O", "O", "P", "P", "Zn", "Zn"],
  "frac_coords": [[0.000, 0.950, 0.093], [0.000, 0.050, 0.593], [0.000, 0.746, 0.376], [0.000, 0.254, 0.876], [0.500, 0.230, 0.317], [0.500, 0.770, 0.817], [0.500, 0.606, 0.467], [0.500, 0.394, 0.967]],
  "magmom_total_mub_per_cell": 0.002
}

---

(2)
{
  "formula": "TbNdCo2C4",
  "functional": "PBE-GGA",
  "state": "optimized geometry",
  "lattice_angstrom": [[3.725, 0.000, 0.000], [-0.003, 3.743, 0.000], [-1.034, -0.986, 7.217]],
  "species": ["C", "C", "C", "C", "Co", "Co", "Nd", "Tb"],
  "frac_coords": [[0.148, 0.510, 0.271], [0.407, 0.557, 0.427], [0.510, 0.142, 0.777], [0.557, 0.407, 0.929], [0.627, 0.489, 0.191], [0.487, 0.626, 0.697], [0.928, 0.071, 0.500], [0.070, 0.931, 0.001]],
  "magmom_total_mub_per_cell": 0.003
}

---

(3)
{
  "formula": "CsSrPu",
  "functional": "PBE-GGA",
  "state": "optimized geometry",
  "lattice_angstrom": [[0.000, 4.546, 4.546], [4.546, 0.000, 4.546], [4.546, 4.546, 0.000]],
  "species": ["Cs", "Pu", "Sr"],
  "frac_coords": [[0.000, 0.000, 0.000], [0.750, 0.750, 0.750], [0.250, 0.250, 0.250]],
  "magmom_total_mub_per_cell": 0.089
}

---

(4)
{
  "formula": "Ta2Co",
  "functional": "PBE-GGA",
  "state": "optimized geometry",
  "lattice_angstrom": [[1.508, -4.952, 0.954], [-0.141, -1.895, 4.909], [-3.575, -3.633, 1.318]],
  "species": ["Co", "Co", "Ta", "Ta", "Ta", "Ta"],
  "frac_coords": [[0.000, 0.000, 0.000], [0.250, 0.250, 0.250], [0.625, 0.625, 0.125], [0.625, 0.125, 0.625], [0.125, 0.625, 0.625], [0.625, 0.625, 0.625]],
  "magmom_total_mub_per_cell": 0.034,
  "formation_enthalpy_0k_ev_per_atom": 0.7470
}

---

(5)
{
  "formula": "CoNiMo2P4",
  "functional": "PBE-GGA",
  "state": "optimized geometry",
  "lattice_angstrom": [[3.317, 0.000, 0.000], [-1.658, 2.872, 0.000], [0.000, 0.000, 11.188]],
  "species": ["Co", "Mo", "Mo", "Ni", "P", "P", "P", "P"],
  "frac_coords": [[0.000, 0.000, 0.000], [0.000, 0.000, 0.248], [0.000, 0.000, 0.752], [0.000, 0.000, 0.500], [0.333, 0.667, 0.107], [0.333, 0.667, 0.386], [0.667, 0.333, 0.614], [0.667, 0.333, 0.893]],
  "magmom_total_mub_per_cell": 0.001
}

---

(6)
{
  "formula": "Na5US5",
  "functional": "PBE-GGA",
  "state": "optimized geometry",
  "lattice_angstrom": [[6.613, -2.731, 0.000], [6.613, 2.731, 0.000], [-2.481, 0.000, 7.489]],
  "species": ["Na", "Na", "Na", "Na", "Na", "S", "S", "S", "S", "S", "U"],
  "frac_coords": [[0.317, 0.317, 0.139], [0.694, 0.694, 0.325], [0.000, 0.000, 0.500], [0.306, 0.306, 0.675], [0.683, 0.683, 0.861], [0.500, 0.500, 0.000], [0.859, 0.859, 0.168], [0.151, 0.151, 0.309], [0.849, 0.849, 0.691], [0.141, 0.141, 0.832], [0.000, 0.000, 0.000]],
  "magmom_total_mub_per_cell": 1.000
}

---

(7)
{
  "formula": "Sr2CdBiAs",
  "functional": "PBE-GGA",
  "state": "optimized geometry",
  "lattice_angstrom": [[2.335, -9.179, 0.000], [2.335, 9.179, 0.000], [0.000, 0.000, 7.467]],
  "species": ["As", "As", "Bi", "Bi", "Cd", "Cd", "Sr", "Sr", "Sr", "Sr"],
  "frac_coords": [[0.060, 0.940, 0.055], [0.940, 0.060, 0.555], [0.322, 0.678, 0.047], [0.678, 0.322, 0.547], [0.095, 0.905, 0.424], [0.905, 0.095, 0.924], [0.688, 0.312, 0.070], [0.478, 0.522, 0.269], [0.312, 0.688, 0.570], [0.522, 0.478, 0.769]]
}

---

(8)
{
  "formula": "CsErHf",
  "functional": "PBE-GGA",
  "state": "optimized geometry",
  "lattice_angstrom": [[-5.501, -0.878, 1.136], [-2.495, 2.775, 4.289], [-3.812, 4.076, -1.086]],
  "species": ["Cs", "Er", "Hf"],
  "frac_coords": [[0.250, 0.250, 0.250], [0.750, 0.750, 0.750], [0.000, 0.000, 0.000]],
  "magmom_total_mub_per_cell": 4.241
}

---

(9)
{
  "formula": "RbNbF3",
  "functional": "PBE-GGA",
  "state": "optimized geometry",
  "lattice_angstrom": [[6.050, 0.000, 0.000], [0.000, 10.988, 0.000], [0.000, 0.000, 5.186]],
  "species": ["F", "F", "F", "F", "F", "F", "F", "F", "F", "F", "F", "F", "Nb", "Nb", "Nb", "Nb", "Rb", "Rb", "Rb", "Rb"],
  "frac_coords": [[0.122, 0.250, 0.176], [0.301, 0.642, 0.181], [0.301, 0.858, 0.181], [0.801, 0.642, 0.319], [0.801, 0.858, 0.319], [0.622, 0.250, 0.324], [0.378, 0.750, 0.676], [0.199, 0.142, 0.681], [0.199, 0.358, 0.681], [0.699, 0.142, 0.819], [0.699, 0.358, 0.819], [0.878, 0.750, 0.824], [0.575, 0.750, 0.036], [0.075, 0.750, 0.464], [0.925, 0.250, 0.536], [0.425, 0.250, 0.964], [0.000, 0.000, 0.000], [0.000, 0.500, 0.000], [0.500, 0.000, 0.500], [0.500, 0.500, 0.500]],
  "magmom_total_mub_per_cell": 11.858
}

---

(10)
{
  "formula": "TbDyNiGe2",
  "functional": "PBE-GGA",
  "state": "optimized geometry",
  "lattice_angstrom": [[5.227, -2.118, 0.000], [5.227, 2.118, 0.000], [-4.836, 0.000, 9.054]],
  "species": ["Dy", "Dy", "Ge", "Ge", "Ge", "Ge", "Ni", "Ni", "Tb", "Tb"],
  "frac_coords": [[0.186, 0.186, 0.109], [0.814, 0.814, 0.891], [0.482, 0.482, 0.121], [0.346, 0.346, 0.434], [0.654, 0.654, 0.566], [0.518, 0.518, 0.879], [0.722, 0.722, 0.350], [0.278, 0.278, 0.650], [0.007, 0.007, 0.332], [0.993, 0.993, 0.668]],
  "magmom_total_mub_per_cell": 0.499
}

---

(11)
{
  "formula": "TlCo2Pd",
  "functional": "PBE-GGA",
  "state": "optimized geometry",
  "lattice_angstrom": [[-2.926, -2.973, 1.416], [-1.030, -0.213, 4.278], [-3.976, 1.306, 1.376]],
  "species": ["Co", "Co", "Pd", "Tl"],
  "frac_coords": [[0.000, 0.000, 0.000], [0.750, 0.750, 0.750], [0.250, 0.250, 0.250], [0.500, 0.500, 0.500]],
  "magmom_total_mub_per_cell": 3.238
}

---

(12)
{
  "formula": "Co3SnPd3",
  "functional": "PBE-GGA",
  "state": "optimized geometry",
  "lattice_angstrom": [[-5.938, -6.234, -1.522], [-3.764, -7.075, 3.496], [-7.647, -3.200, 2.778]],
  "species": ["Co", "Co", "Co", "Co", "Co", "Co", "Pd", "Pd", "Pd", "Pd", "Pd", "Pd", "Sn", "Sn"],
  "frac_coords": [[0.657, 0.657, 0.100], [0.900, 0.343, 0.343], [0.343, 0.900, 0.343], [0.657, 0.100, 0.657], [0.100, 0.657, 0.657], [0.343, 0.343, 0.900], [0.621, 0.114, 0.114], [0.114, 0.621, 0.114], [0.886, 0.886, 0.379], [0.114, 0.114, 0.621], [0.886, 0.379, 0.886], [0.379, 0.886, 0.886], [0.381, 0.381, 0.381], [0.619, 0.619, 0.619]],
  "magmom_total_mub_per_cell": 11.412
}

---

(13)
{
  "formula": "SrNbTe",
  "functional": "PBE-GGA",
  "state": "optimized geometry",
  "lattice_angstrom": [[-2.090, -4.308, 1.809], [-2.244, -0.020, 4.600], [-5.088, -0.419, 0.363]],
  "species": ["Nb", "Sr", "Te"],
  "frac_coords": [[0.250, 0.250, 0.250], [0.750, 0.750, 0.750], [0.000, 0.000, 0.000]],
  "magmom_total_mub_per_cell": 3.695
}

---

(14)
{
  "formula": "Gd2Hf30O63",
  "functional": "PBE-GGA",
  "state": "optimized geometry",
  "lattice_angstrom": [[-5.834, -5.129, 6.607], [0.577, -8.835, -5.080], [8.392, -2.574, 5.421]],
  "species": ["Gd", "Gd", "Hf", "Hf", "Hf", "Hf", "Hf", "Hf", "Hf", "Hf", "Hf", "Hf", "Hf", "Hf", "Hf", "Hf", "Hf", "Hf", "Hf", "Hf", "Hf", "Hf", "Hf", "Hf", "Hf", "Hf", "Hf", "Hf", "Hf", "Hf", "Hf", "Hf", "O", "O", "O", "O", "O", "O", "O", "O", "O", "O", "O", "O", "O", "O", "O", "O", "O", "O", "O", "O", "O", "O", "O", "O", "O", "O", "O", "O", "O", "O", "O", "O", "O", "O", "O", "O", "O", "O", "O", "O", "O", "O", "O", "O", "O", "O", "O", "O", "O", "O", "O", "O", "O", "O", "O", "O", "O", "O", "O", "O", "O", "O", "O"],
  "frac_coords": [[0.368, 0.740, 0.370], [0.370, 0.244, 0.860], [0.375, 0.993, 0.109], [0.120, 0.254, 0.110], [0.625, 0.746, 0.110], [0.623, 0.247, 0.111], [0.875, 0.499, 0.113], [0.376, 0.495, 0.114], [0.872, 0.000, 0.115], [0.124, 0.752, 0.117], [0.348, 0.223, 0.347], [0.872, 0.247, 0.372], [0.872, 0.749, 0.374], [0.634, 0.503, 0.374], [0.627, 0.999, 0.378], [0.124, 0.503, 0.378], [0.121, 0.000, 0.379], [0.377, 0.998, 0.610], [0.129, 0.255, 0.610], [0.880, 0.998, 0.612], [0.622, 0.745, 0.615], [0.121, 0.756, 0.616], [0.871, 0.498, 0.617], [0.631, 0.233, 0.623], [0.356, 0.503, 0.630], [0.364, 0.747, 0.868], [0.874, 0.246, 0.873], [0.872, 0.749, 0.874], [0.628, 0.995, 0.878], [0.624, 0.497, 0.880], [0.124, 0.003, 0.881], [0.124, 0.507, 0.882], [0.239, 0.379, 0.016], [0.245, 0.871, 0.018], [0.504, 0.110, 0.018], [0.746, 0.872, 0.020], [0.998, 0.623, 0.022], [0.995, 0.124, 0.024], [0.500, 0.618, 0.024], [0.749, 0.372, 0.025], [0.462, 0.827, 0.195], [0.952, 0.334, 0.207], [0.955, 0.835, 0.209], [0.454, 0.319, 0.212], [0.720, 0.591, 0.216], [0.717, 0.091, 0.216], [0.228, 0.111, 0.225], [0.224, 0.603, 0.226], [0.204, 0.859, 0.265], [0.200, 0.350, 0.267], [0.465, 0.065, 0.273], [0.473, 0.559, 0.275], [0.966, 0.088, 0.277], [0.967, 0.587, 0.278], [0.707, 0.837, 0.279], [0.703, 0.336, 0.282], [0.995, 0.374, 0.465], [0.995, 0.873, 0.466], [0.748, 0.625, 0.470], [0.752, 0.119, 0.474], [0.502, 0.879, 0.475], [0.243, 0.117, 0.476], [0.236, 0.618, 0.490], [0.495, 0.142, 0.501], [0.264, 0.366, 0.502], [0.999, 0.126, 0.522], [0.732, 0.372, 0.522], [0.239, 0.879, 0.523], [0.749, 0.871, 0.524], [0.502, 0.593, 0.524], [0.993, 0.624, 0.525], [0.471, 0.342, 0.679], [0.452, 0.823, 0.701], [0.959, 0.333, 0.706], [0.958, 0.837, 0.713], [0.711, 0.584, 0.713], [0.230, 0.114, 0.721], [0.732, 0.085, 0.721], [0.218, 0.621, 0.736], [0.214, 0.377, 0.750], [0.489, 0.079, 0.753], [0.213, 0.860, 0.773], [0.974, 0.089, 0.776], [0.706, 0.831, 0.778], [0.961, 0.586, 0.779], [0.710, 0.333, 0.784], [0.459, 0.579, 0.787], [0.493, 0.869, 0.956], [0.997, 0.372, 0.963], [0.996, 0.874, 0.967], [0.749, 0.621, 0.969], [0.749, 0.122, 0.971], [0.501, 0.372, 0.976], [0.242, 0.120, 0.981], [0.248, 0.624, 0.981]],
  "magmom_total_mub_per_cell": 0.012
}

---

(15)
{
  "formula": "HfCoIrPb",
  "functional": "PBE-GGA",
  "state": "optimized geometry",
  "lattice_angstrom": [[0.000, 3.270, 3.270], [3.270, 0.000, 3.270], [3.270, 3.270, 0.000]],
  "species": ["Co", "Hf", "Ir", "Pb"],
  "frac_coords": [[0.750, 0.750, 0.750], [0.250, 0.250, 0.250], [0.500, 0.500, 0.500], [0.000, 0.000, 0.000]],
  "magmom_total_mub_per_cell": 1.517
}

---

(16)
{
  "formula": "NdDy2Al3Ge2Pt",
  "functional": "PBE-GGA",
  "state": "optimized geometry",
  "lattice_angstrom": [[4.270, 0.000, 0.000], [0.000, 6.113, 3.532], [0.000, -6.113, 3.532]],
  "species": ["Al", "Al", "Al", "Dy", "Dy", "Ge", "Ge", "Nd", "Pt"],
  "frac_coords": [[0.500, 0.770, 0.003], [0.500, 0.229, 0.229], [0.500, 0.003, 0.770], [0.000, 0.998, 0.413], [0.000, 0.413, 0.998], [0.500, 0.669, 0.326], [0.500, 0.326, 0.669], [0.000, 0.583, 0.583], [0.000, 0.009, 0.009]],
  "magmom_total_mub_per_cell": 0.003
}

---

(17)
{
  "formula": "KHoW",
  "functional": "PBE-GGA",
  "state": "optimized geometry",
  "lattice_angstrom": [[1.653, -4.659, -1.703], [-2.535, -4.349, 1.412], [-2.816, -2.645, -3.522]],
  "species": ["Ho", "K", "W"],
  "frac_coords": [[0.000, 0.000, 0.000], [0.750, 0.750, 0.750], [0.250, 0.250, 0.250]],
  "magmom_total_mub_per_cell": 3.732
}

---

(18)
{
  "formula": "SrAlSbPd2",
  "functional": "PBE-GGA",
  "state": "optimized geometry",
  "lattice_angstrom": [[-3.913, 1.127, 2.003], [0.451, -3.502, 2.852], [5.273, 6.220, 6.803]],
  "species": ["Al", "Al", "Pd", "Pd", "Pd", "Pd", "Sb", "Sb", "Sr", "Sr"],
  "frac_coords": [[0.000, 0.000, 0.500], [0.500, 0.500, 0.500], [0.000, 0.000, 0.000], [0.500, 0.500, 0.000], [0.500, 0.000, 0.391], [0.000, 0.500, 0.609], [0.500, 0.000, 0.139], [0.000, 0.500, 0.861], [0.000, 0.500, 0.248], [0.500, 0.000, 0.752]]
}

---

(19)
{
  "formula": "AlSiOs",
  "functional": "PBE-GGA",
  "state": "optimized geometry",
  "lattice_angstrom": [[3.897, 1.035, 0.050], [1.161, 3.391, 1.846], [2.093, -0.192, 3.441]],
  "species": ["Al", "Os", "Si"],
  "frac_coords": [[0.250, 0.250, 0.250], [0.750, 0.750, 0.750], [0.000, 0.000, 0.000]],
  "magmom_total_mub_per_cell": 0.001
}

---

| no. | DFT total energy (eV per cell) |
| --- | --- |
| 1 | -44.61 |
| 2 | -62.92 |
| 3 | -10.27 |
| 4 | -57.14 |
| 5 | -60.84 |
| 6 | -52.20 |
| 7 | -34.24 |
| 8 | -10.46 |
| 9 | -107.57 |
| 10 | -56.29 |
| 11 | -20.35 |
| 12 | -80.19 |
| 13 | -13.92 |
| 14 | -952.10 |
| 15 | -28.87 |
| 16 | -48.43 |
| 17 | -12.26 |
| 18 | -47.72 |
| 19 | -20.45 |